Record 1
DFT (GGA-PBE) results for crystalline KBaCuS2 at its relaxed geometry.

a b c (Å): 4.9019 7.2942 8.5305
angles (deg): 104.64 90.00 90.00
With the nearest neighbours (Å) after each atom.
Positions (direct):
K1 0.4514 0.0000 0.2500  4 Cu 3.07-3.43, 4 S 3.13-3.21
K2 0.5486 0.0000 0.7500  4 Cu 3.07-3.43, 4 S 3.13-3.21
Ba1 0.2405 0.5000 0.7500  6 S 3.14-3.44
Ba2 0.7595 0.5000 0.2500  6 S 3.14-3.44
Cu1 0.0000 0.0000 0.0000  2 S 2.16
Cu2 0.0000 0.0000 0.5000  2 S 2.16
S1 0.7821 0.7355 0.9678  1 Cu 2.16
S2 0.7821 0.2645 0.5322  1 Cu 2.16
S3 0.2179 0.7355 0.4678  1 Cu 2.16
S4 0.2179 0.2645 0.0322  1 Cu 2.16

Calculated values
**M_tot**: 0.00 μB/f.u.
**Formation energy without anion corrections**: -1.204 eV per atom
**Calculated total energy**: -4.28 eV per atom
**Crystal system**: monoclinic

Record 2
DFT (GGA-PBE) results for crystalline FeTeMo2 at its relaxed geometry.

a b c (Å): 3.2615 3.2615 6.1183
angles (deg): 90.00 90.00 90.00
With the nearest neighbours (Å) after each atom.
Positions (direct):
Fe1 0.5000 0.5000 0.7764  5 Mo 2.62-2.82, 4 Te 2.83
Mo1 0.0000 0.0000 0.9798  4 Fe 2.62, 4 Mo 2.79, 1 Te 2.89
Mo2 0.5000 0.5000 0.2365  4 Mo 2.79, 1 Fe 2.82, 4 Te 2.84
Te1 0.0000 0.0000 0.5074  4 Fe 2.83, 5 Mo 2.84-2.89

Calculated values
**M_tot**: 1.68 μB/f.u.
**Formation energy without anion corrections**: 0.319 eV per atom
**Offset from the most stable computed form**: 0.000 eV per formula unit
**Calculated total energy**: -8.00 eV per atom
**Crystal system**: tetragonal

Record 3
DFT (GGA-PBE) results for crystalline UPt2 at its relaxed geometry.

a b c (Å): 5.3386 5.3386 5.6662
angles (deg): 90.00 90.00 133.76
With the nearest neighbours (Å) after each atom.
Positions (direct):
U1 0.6734 0.3266 0.2500  9 Pt 2.83-3.05
U2 0.3266 0.6734 0.7500  9 Pt 2.83-3.05
Pt1 0.0000 0.0000 0.5000  6 Pt 2.83-2.85, 4 U 3.05
Pt2 0.0000 0.0000 0.0000  6 Pt 2.83-2.85, 4 U 3.05
Pt3 0.3671 0.6329 0.2500  5 U 2.83-3.01, 4 Pt 2.85
Pt4 0.6329 0.3671 0.7500  5 U 2.83-3.01, 4 Pt 2.85

Calculated values
**M_tot**: 1.47 μB/f.u.
**Calculated total energy**: -8.52 eV per atom
**Crystal system**: orthorhombic

Record 4
DFT (GGA-PBE) results for crystalline Sc2Pd9Pb at its relaxed geometry.

a b c (Å): 4.0441 4.0441 12.1220
angles (deg): 90.00 90.00 90.00
With the nearest neighbours (Å) after each atom.
Positions (direct):
Sc1 0.0000 0.0000 0.3366  12 Pd 2.83-2.86
Sc2 0.0000 0.0000 0.6634  12 Pd 2.83-2.86
Pd1 0.5000 0.5000 0.0000  4 Pb 2.86, 8 Pd 2.92
Pd2 0.5000 0.5000 0.3358  8 Pd 2.82-2.84, 4 Sc 2.86
Pd3 0.5000 0.5000 0.6642  8 Pd 2.82-2.84, 4 Sc 2.86
Pd4 0.5000 0.0000 0.1736  8 Pd 2.82-2.92, 2 Sc 2.83, 2 Pb 2.92
Pd5 0.5000 0.0000 0.5000  4 Sc 2.83, 8 Pd 2.84-2.86
Pd6 0.5000 0.0000 0.8264  8 Pd 2.82-2.92, 2 Sc 2.83, 2 Pb 2.92
Pd7 0.0000 0.5000 0.1736  8 Pd 2.82-2.92, 2 Sc 2.83, 2 Pb 2.92
Pd8 0.0000 0.5000 0.5000  4 Sc 2.83, 8 Pd 2.84-2.86
Pd9 0.0000 0.5000 0.8264  8 Pd 2.82-2.92, 2 Sc 2.83, 2 Pb 2.92
Pb1 0.0000 0.0000 0.0000  12 Pd 2.86-2.92

Calculated values
**M_tot**: 0.00 μB/f.u.
**Calculated total energy**: -5.92 eV per atom
**Crystal system**: tetragonal

Record 5
DFT (GGA-PBE) results for crystalline Na2OsPb2O6 at its relaxed geometry.

a b c (Å): 5.9916 5.9916 5.8668
angles (deg): 97.56 97.56 117.29
With the nearest neighbours (Å) after each atom.
Positions (direct):
Na1 0.8554 0.1446 0.0000  4 O 2.37-2.38
Na2 0.1446 0.8554 0.0000  4 O 2.37-2.38
Os1 0.0000 0.0000 0.5000  6 O 1.95-1.99
Pb1 0.3374 0.6626 0.5000  6 O 2.43-2.56
Pb2 0.6626 0.3374 0.5000  6 O 2.43-2.56
O1 0.7978 0.7978 0.7060  1 Os 1.95
O2 0.0392 0.3216 0.6896  1 Os 1.99
O3 0.2022 0.2022 0.2940  1 Os 1.95
O4 0.3216 0.0392 0.6896  1 Os 1.99
O5 0.9608 0.6784 0.3104  1 Os 1.99
O6 0.6784 0.9608 0.3104  1 Os 1.99

Calculated values
**M_tot**: 1.83 μB/f.u.
**Formation energy without anion corrections**: -1.200 eV per atom
**Calculated total energy**: -5.84 eV per atom
**Crystal system**: monoclinic

Record 6
DFT (GGA-PBE) results for crystalline ZrOs4Pt at its relaxed geometry.

a b c (Å): 5.1860 5.1860 5.1860
angles (deg): 60.00 60.00 60.00
With the nearest neighbours (Å) after each atom.
Positions (direct):
Zr1 0.0000 0.0000 0.0000  12 Os 3.04, 4 Pt 3.18
Os1 0.6240 0.6240 0.1280  6 Os 2.57-2.61
Os2 0.6240 0.1280 0.6240  6 Os 2.57-2.61
Os3 0.6240 0.6240 0.6240  6 Os 2.57-2.61
Os4 0.1280 0.6240 0.6240  6 Os 2.57-2.61
Pt1 0.2500 0.2500 0.2500  12 Os 3.04, 4 Zr 3.18

Calculated values
**M_tot**: 0.00 μB/f.u.
**Calculated total energy**: -9.79 eV per atom
**Crystal system**: cubic

Record 7
DFT (GGA-PBE) results for crystalline B5C7 at its relaxed geometry.

a b c (Å): 2.6282 3.9608 7.8419
angles (deg): 88.05 90.00 90.00
With the nearest neighbours (Å) after each atom.
Positions (direct):
B1 0.5000 0.4496 0.1929  3 C 1.57-1.58
B2 0.5000 0.8232 0.9727  2 C 1.58
B3 0.5000 0.4366 0.4758  3 C 1.58-1.59
B4 0.0000 0.9958 0.3368  4 C 1.64-1.70
B5 0.5000 0.4910 0.8167  3 C 1.51-1.61
C1 0.0000 0.2432 0.1561  1 C 1.49, 2 B 1.58
C2 0.0000 0.0379 0.0001  2 C 1.49-1.54, 2 B 1.58
C3 0.0000 0.2226 0.5086  1 C 1.52, 3 B 1.58-1.64
C4 0.5000 0.7262 0.3311  4 B 1.57-1.69
C5 0.0000 0.2554 0.8335  2 C 1.54-1.61, 2 B 1.61
C6 0.0000 0.0116 0.6734  4 C 1.52-1.61
C7 0.5000 0.8069 0.7024  1 B 1.51, 2 C 1.56

Calculated values
**M_tot**: 0.00 μB/f.u.
**Offset from the most stable computed form**: 0.994 eV per formula unit
**Calculated total energy**: -7.82 eV per atom
**Crystal system**: monoclinic

Record 8
DFT (GGA-PBE) results for crystalline Li2HoZnHg4 at its relaxed geometry.

a b c (Å): 4.6678 4.6678 9.2127
angles (deg): 75.33 75.33 60.00
With the nearest neighbours (Å) after each atom.
Positions (direct):
Li1 0.7636 0.7636 0.7093  7 Hg 2.79-2.98
Li2 0.2364 0.2364 0.2907  7 Hg 2.79-2.98
Ho1 0.0000 0.0000 0.0000  8 Hg 3.07-3.26
Zn1 0.5000 0.5000 0.5000  8 Hg 2.93-2.94, 6 Li 3.27
Hg1 0.3886 0.3886 0.8342  3 Li 2.91, 1 Zn 2.94, 3 Ho 3.07, 3 Hg 3.24
Hg2 0.8765 0.8765 0.3705  4 Li 2.79-2.98, 3 Zn 2.93
Hg3 0.1235 0.1235 0.6295  4 Li 2.79-2.98, 3 Zn 2.93
Hg4 0.6114 0.6114 0.1658  3 Li 2.91, 1 Zn 2.94, 3 Ho 3.07, 3 Hg 3.24

Calculated values
**M_tot**: 0.00 μB/f.u.
**Calculated total energy**: -1.65 eV per atom
**Crystal system**: trigonal

Record 9
DFT (GGA-PBE) results for crystalline Tb2Sm3Y4 at its relaxed geometry.

a b c (Å): 3.5886 6.2087 15.2136
angles (deg): 65.94 90.00 106.80
With the nearest neighbours (Å) after each atom.
Positions (direct):
Tb1 0.3335 0.6670 0.2210  6 Y 3.57-3.59, 4 Sm 3.57-3.58, 2 Tb 3.59
Tb2 0.6665 0.3330 0.7790  6 Y 3.57-3.59, 4 Sm 3.57-3.58, 2 Tb 3.59
Sm1 0.3322 0.6644 0.5572  5 Y 3.57-3.61, 2 Tb 3.58, 5 Sm 3.59-3.61
Sm2 0.0000 0.0000 0.0000  4 Tb 3.57, 6 Y 3.59, 2 Sm 3.59
Sm3 0.6678 0.3356 0.4428  5 Y 3.57-3.61, 2 Tb 3.58, 5 Sm 3.59-3.61
Y1 0.6664 0.3328 0.1113  3 Tb 3.57-3.58, 6 Y 3.58-3.59, 3 Sm 3.59
Y2 0.0006 0.0012 0.6670  5 Sm 3.57-3.61, 4 Y 3.58-3.59, 3 Tb 3.59
Y3 0.9994 0.9988 0.3330  5 Sm 3.57-3.61, 4 Y 3.58-3.59, 3 Tb 3.59
Y4 0.3336 0.6672 0.8887  3 Tb 3.57-3.58, 6 Y 3.58-3.59, 3 Sm 3.59

Calculated values
**M_tot**: 0.00 μB/f.u.
**Offset from the most stable computed form**: 0.000 eV per formula unit
**Calculated total energy**: -5.46 eV per atom
**Crystal system**: monoclinic

Record 10
DFT (GGA-PBE) results for crystalline La6ErSc2 at its relaxed geometry.

a b c (Å): 3.6187 9.9380 9.9379
angles (deg): 55.71 90.00 90.00
With the nearest neighbours (Å) after each atom.
Positions (direct):
La1 0.0000 0.5046 0.1581  4 La 3.20-3.47, 2 Sc 3.53
La2 0.0000 0.8419 0.4954  4 La 3.20-3.47, 2 Sc 3.53
La3 0.0000 0.4954 0.8419  4 La 3.20-3.47, 2 Sc 3.53
La4 0.5000 0.6762 0.3238  7 La 3.27-3.62, 2 Er 3.51
La5 0.0000 0.1581 0.5046  4 La 3.20-3.47, 2 Sc 3.53
La6 0.5000 0.3238 0.6762  7 La 3.27-3.62, 2 Er 3.51
Er1 0.0000 0.0000 0.0000  4 Sc 3.49, 4 La 3.51, 2 Er 3.62
Sc1 0.5000 0.1698 0.1698  2 Er 3.49, 8 La 3.53-3.73, 2 Sc 3.62
Sc2 0.5000 0.8302 0.8302  2 Er 3.49, 8 La 3.53-3.73, 2 Sc 3.62

Calculated values
**M_tot**: 0.00 μB/f.u.
**Calculated total energy**: -5.05 eV per atom
**Crystal system**: orthorhombic

Record 11
DFT (GGA-PBE) results for crystalline Y2TlAg3 at its relaxed geometry.

a b c (Å): 4.0504 3.9581 9.8152
angles (deg): 101.63 101.91 90.00
With the nearest neighbours (Å) after each atom.
Positions (direct):
Y1 0.1356 0.1356 0.2713  8 Ag 3.09-3.19
Y2 0.8570 0.3570 0.7140  4 Ag 3.06, 4 Tl 3.35
Tl1 0.4525 0.9525 0.9051  3 Ag 2.79-2.95
Ag1 0.7021 0.7021 0.4042  3 Ag 2.68-2.73
Ag2 0.5570 0.5570 0.1140  1 Ag 2.73, 2 Tl 2.79
Ag3 0.2957 0.7957 0.5914  2 Ag 2.68, 1 Tl 2.95

Calculated values
**M_tot**: 0.00 μB/f.u.
**Offset from the most stable computed form**: 0.607 eV per formula unit
**Calculated total energy**: -4.14 eV per atom
**Crystal system**: orthorhombic

Record 12
DFT (GGA-PBE) results for crystalline TlAg2W at its relaxed geometry.

a b c (Å): 10.0830 10.0830 10.0830
angles (deg): 16.99 16.99 16.99
With the nearest neighbours (Å) after each atom.
Positions (direct):
Tl1 0.4985 0.4985 0.4985  6 Tl 2.98, 3 W 3.09, 3 Ag 3.18
Ag1 0.0011 0.0011 0.0011  3 W 2.89, 9 Ag 2.93-2.98
Ag2 0.2548 0.2548 0.2548  9 Ag 2.93-2.98, 3 Tl 3.18
W1 0.7456 0.7456 0.7456  3 Ag 2.89, 6 W 2.98, 3 Tl 3.09

Calculated values
**M_tot**: 0.00 μB/f.u.
**Offset from the most stable computed form**: 0.080 eV per formula unit
**Calculated total energy**: -4.65 eV per atom
**Crystal system**: trigonal